1.
Compound: ErMgSc2
Source: Alexandria
Functional: PBE-GGA
Structure: relaxed

Cell lengths 3.3038, 3.3038, 11.1033 Å; angles 81.44, 81.44, 60.00 degrees
Closest atoms and distances in Å follow each position.
Atoms (fractional coordinates):
Er  0.6665  0.6665  0.0004  6 Er 3.30, 6 Sc 3.35-3.36
Mg  0.5001  0.5001  0.4997  6 Mg 3.30, 6 Sc 3.31-3.32
Sc  0.0840  0.0840  0.7479  6 Sc 3.30, 3 Mg 3.32, 3 Er 3.36
Sc  0.2493  0.2493  0.2520  6 Sc 3.30, 3 Mg 3.31, 3 Er 3.35

***

2.
Compound: Er4MgSc2
Source: Alexandria
Functional: PBE-GGA
Structure: relaxed

Cell lengths 3.3989, 8.3469, 15.9429 Å; angles 85.03, 115.17, 101.75 degrees
Closest atoms and distances in Å follow each position.
Atoms (fractional coordinates):
Er  0.6393  0.6990  0.1443  4 Er 3.05-3.40, 3 Sc 3.17-3.27
Er  0.0597  0.6990  0.3557  4 Er 3.05-3.40, 3 Sc 3.17-3.27
Er  0.3607  0.3010  0.8557  4 Er 3.05-3.40, 3 Sc 3.17-3.27
Er  0.9403  0.3010  0.6443  4 Er 3.05-3.40, 3 Sc 3.17-3.27
Er  0.8111  0.6222  0.7500  4 Sc 3.39, 6 Er 3.40-3.48, 2 Mg 3.43
Er  0.1889  0.3778  0.2500  4 Sc 3.39, 6 Er 3.40-3.48, 2 Mg 3.43
Er  0.5000  0.0000  0.0000  4 Er 3.22-3.40, 4 Sc 3.40
Er  0.5000  0.0000  0.5000  4 Er 3.22-3.40, 4 Sc 3.40
Mg  0.4935  0.9870  0.7500  2 Mg 3.40, 6 Er 3.43-3.44
Mg  0.5065  0.0130  0.2500  2 Mg 3.40, 6 Er 3.43-3.44
Sc  0.0816  0.3507  0.4527  7 Er 3.17-3.40, 4 Sc 3.27-3.40
Sc  0.7309  0.6493  0.9527  7 Er 3.17-3.40, 4 Sc 3.27-3.40
Sc  0.2691  0.3507  0.0473  7 Er 3.17-3.40, 4 Sc 3.27-3.40
Sc  0.9184  0.6493  0.5473  7 Er 3.17-3.40, 4 Sc 3.27-3.40

***

3.
Compound: ErMg6Sc3
Source: Alexandria
Functional: PBE-GGA
Structure: relaxed

Cell lengths 5.1101, 8.9066, 10.8597 Å; angles 105.91, 90.00, 90.00 degrees
Closest atoms and distances in Å follow each position.
Atoms (fractional coordinates):
Er  0.2500  0.9477  0.5993  8 Mg 3.17-3.24
Er  0.7500  0.0523  0.4007  8 Mg 3.17-3.24
Mg  0.2500  0.4506  0.0995  7 Sc 3.08-3.12, 1 Mg 3.14
Mg  0.7500  0.5494  0.9005  7 Sc 3.08-3.12, 1 Mg 3.14
Mg  0.2500  0.1524  0.2001  8 Mg 3.08-3.17
Mg  0.7500  0.8476  0.7999  8 Mg 3.08-3.17
Mg  0.2500  0.6442  0.6998  5 Sc 3.09-3.19, 2 Mg 3.15, 1 Er 3.18
Mg  0.7500  0.3558  0.3001  5 Sc 3.09-3.19, 2 Mg 3.15, 1 Er 3.18
Mg  0.2500  0.2609  0.5021  4 Sc 3.09-3.13, 1 Mg 3.15, 3 Er 3.17-3.24
Mg  0.7500  0.7391  0.4979  4 Sc 3.09-3.13, 1 Mg 3.15, 3 Er 3.17-3.24
Mg  0.2500  0.8442  0.2908  4 Sc 3.07-3.14, 1 Mg 3.16, 3 Er 3.19-3.22
Mg  0.7500  0.1558  0.7092  4 Sc 3.07-3.14, 1 Mg 3.16, 3 Er 3.19-3.22
Mg  0.2500  0.0537  0.9049  3 Mg 3.08-3.17, 4 Sc 3.14-3.17, 1 Er 3.19
Mg  0.7500  0.9463  0.0951  3 Mg 3.08-3.17, 4 Sc 3.14-3.17, 1 Er 3.19
Sc  0.2500  0.5479  0.3946  8 Mg 3.08-3.19
Sc  0.7500  0.4521  0.6054  8 Mg 3.08-3.19
Sc  0.2500  0.3517  0.8020  8 Mg 3.10-3.15
Sc  0.7500  0.6483  0.1980  8 Mg 3.10-3.15
Sc  0.2500  0.7450  0.9970  8 Mg 3.07-3.17
Sc  0.7500  0.2550  0.0030  8 Mg 3.07-3.17

***

Record order is preserved below.
VASP energy: -4.639; -4.528; -3.349 eV per atom
Record order is preserved below.
Total magnetization: 0.022; 0.000; 0.217 Bohr magnetons per cell